Entry 1:
VASP calculation (GGA-PBEsol) on a geometry-optimized Sr2Mg structure.

Unit cell a=15.8485 b=15.8485 c=15.8485 alpha=90.00 beta=90.00 gamma=90.00
Space group Fd-3m (No. 227, origin choice 2)
Symmetry-distinct sites (fractional):
1 Sr 0.0000 0.0000 0.0000 [16 per cell]
2 Sr 0.0661 0.3750 0.8750 [48 per cell]
3 Mg 0.0460 0.0460 0.2040 [32 per cell]

## Properties
ρ: 2.664 g cm⁻³
total moment: 0.01 μB per cell
N(E_F): 1.169 states/eV/atom
energy relative to the elements: -0.0197 eV per atom
total DFT energy (no corrections): -1.819 eV per atom

Entry 2:
VASP calculation (GGA-PBEsol) on a geometry-optimized La2ScBiRh structure.

Unit cell a=5.9954 b=5.9954 c=4.9198 alpha=90.00 beta=90.00 gamma=90.00
Space group P4/mmm (No. 123)
Symmetry-distinct sites (fractional):
1 La 0.0000 0.5000 0.0000 [2 per cell]
2 Sc 0.0000 0.0000 0.5000 [1 per cell]
3 Bi 0.5000 0.5000 0.0000 [1 per cell]
4 Rh 0.5000 0.5000 0.5000 [1 per cell]

## Properties
ρ: 5.959 g cm⁻³
total moment: 0.98 μB per cell
N(E_F): 1.731 states/eV/atom
energy relative to the elements: 0.5469 eV per atom
total DFT energy (no corrections): -5.397 eV per atom

Entry 3:
VASP calculation (GGA-PBEsol) on a geometry-optimized HfPdCl2 structure.

Unit cell a=6.0817 b=6.0817 c=9.1259 alpha=90.00 beta=90.00 gamma=90.00
Space group I-42d (No. 122)
Symmetry-distinct sites (fractional):
1 Hf 0.0000 0.0000 0.0000 [4 per cell]
2 Pd 0.0000 0.0000 0.5000 [4 per cell]
3 Cl 0.2476 0.7500 0.6250 [8 per cell]

## Properties
E_form (uncorrected): -0.089 eV/atom
ρ: 7.002 g cm⁻³
total moment: 0.01 μB per cell
N(E_F): 0.932 states/eV/atom
total DFT energy (no corrections): -5.209 eV per atom

Entry 4:
VASP calculation (GGA-PBEsol) on a geometry-optimized Cd2InPb structure.

Unit cell a=6.4670 b=10.1677 c=3.3018 alpha=90.00 beta=112.37 gamma=90.00
Space group C2/m (No. 12)
Symmetry-distinct sites (fractional):
1 Cd 0.2500 0.2500 0.0000 [4 per cell]
2 In 0.0000 0.0000 0.5000 [2 per cell]
3 Pb 0.0000 0.5000 0.5000 [2 per cell]

## Properties
polymorph energy (0 for the lowest one): 0.054 eV/atom
ρ: 9.046 g cm⁻³
total moment: 0.00 μB per cell
N(E_F): 0.446 states/eV/atom
energy relative to the elements: 0.0923 eV per atom
total DFT energy (no corrections): -2.252 eV per atom

Entry 5:
VASP calculation (GGA-PBEsol) on a geometry-optimized MgTl structure.

Unit cell a=4.3895 b=4.3895 c=9.9325 alpha=90.00 beta=90.00 gamma=90.00
Space group I4_1/amd (No. 141, origin choice 2)
Symmetry-distinct sites (fractional):
1 Mg 0.0000 0.2500 0.3750 [4 per cell]
2 Tl 0.0000 0.2500 0.8750 [4 per cell]

## Properties
ρ: 7.937 g cm⁻³
total moment: 0.00 μB per cell
N(E_F): 0.428 states/eV/atom
energy relative to the elements: -0.0562 eV per atom
total DFT energy (no corrections): -2.230 eV per atom

Entry 6:
VASP calculation (GGA-PBEsol) on a geometry-optimized LaY2Sb2 structure.

Unit cell a=8.3510 b=8.3510 c=4.0342 alpha=90.00 beta=90.00 gamma=90.00
Space group P4/mbm (No. 127)
Symmetry-distinct sites (fractional):
1 La 0.0000 0.0000 0.0000 [2 per cell]
2 Y 0.1555 0.3445 0.5000 [4 per cell]
3 Sb 0.1425 0.6425 0.0000 [4 per cell]

## Properties
E_form (uncorrected): -1.008 eV/atom
ρ: 6.613 g cm⁻³
total moment: 0.00 μB per cell
N(E_F): 0.815 states/eV/atom
total DFT energy (no corrections): -6.629 eV per atom

Entry 7:
VASP calculation (GGA-PBEsol) on a geometry-optimized TlTePt structure.

Unit cell a=6.6079 b=6.6079 c=6.6079 alpha=90.00 beta=90.00 gamma=90.00
Space group F-43m (No. 216)
Symmetry-distinct sites (fractional):
1 Tl 0.0000 0.0000 0.0000 [4 per cell]
2 Te 0.0000 0.0000 0.5000 [4 per cell]
3 Pt 0.2500 0.2500 0.7500 [4 per cell]

## Properties
E_form (uncorrected): -0.085 eV/atom
ρ: 12.133 g cm⁻³
total moment: 0.00 μB per cell
N(E_F): 0.621 states/eV/atom
total DFT energy (no corrections): -4.459 eV per atom

Entry 8:
VASP calculation (GGA-PBEsol) on a geometry-optimized OsAu2Cl structure.

Unit cell a=2.7514 b=4.1423 c=12.3762 alpha=90.00 beta=90.00 gamma=90.00
Space group Immm (No. 71)
Symmetry-distinct sites (fractional):
1 Os 0.0000 0.0000 0.0000 [2 per cell]
2 Au 0.0000 0.5000 0.3063 [4 per cell]
3 Cl 0.0000 0.0000 0.5000 [2 per cell]

## Properties
E_form (uncorrected): 0.690 eV/atom
polymorph energy (0 for the lowest one): 0.121 eV/atom
ρ: 14.589 g cm⁻³
total moment: 0.00 μB per cell
N(E_F): 0.664 states/eV/atom
total DFT energy (no corrections): -4.827 eV per atom

Entry 9:
VASP calculation (GGA-PBEsol) on a geometry-optimized TlCIO2 structure.

Unit cell a=3.9831 b=3.9831 c=7.1539 alpha=90.00 beta=90.00 gamma=90.00
Space group P4/mmm (No. 123)
Symmetry-distinct sites (fractional):
1 Tl 0.0000 0.0000 0.0000 [1 per cell]
2 C 0.5000 0.5000 0.5000 [1 per cell]
3 I 0.0000 0.0000 0.5000 [1 per cell]
4 O 0.0000 0.5000 0.0000 [2 per cell]

## Properties
E_form (uncorrected): 1.423 eV/atom
ρ: 5.491 g cm⁻³
total moment: 1.55 μB per cell
N(E_F): 0.578 states/eV/atom
total DFT energy (no corrections): -3.485 eV per atom

Entry 10:
VASP calculation (GGA-PBEsol) on a geometry-optimized Zn2IrRh structure.

Unit cell a=4.4213 b=2.7530 c=4.7632 alpha=90.00 beta=111.01 gamma=90.00
Space group P2/m (No. 10)
Symmetry-distinct sites (fractional):
1 Zn 0.0000 0.0000 0.0000 [1 per cell]
2 Zn 0.0000 0.5000 0.5000 [1 per cell]
3 Ir 0.5000 0.0000 0.5000 [1 per cell]
4 Rh 0.5000 0.5000 0.0000 [1 per cell]

## Properties
ρ: 13.068 g cm⁻³
total moment: 0.00 μB per cell
N(E_F): 0.456 states/eV/atom
energy relative to the elements: -0.2162 eV per atom
total DFT energy (no corrections): -5.498 eV per atom

Entry 11:
VASP calculation (GGA-PBEsol) on a geometry-optimized TlSiSb4 structure.

Unit cell a=8.7304 b=8.7304 c=8.7304 alpha=90.00 beta=90.00 gamma=90.00
Space group F-43m (No. 216)
Symmetry-distinct sites (fractional):
1 Tl 0.0000 0.0000 0.0000 [4 per cell]
2 Si 0.2500 0.2500 0.2500 [4 per cell]
3 Sb 0.1243 0.1243 0.6243 [16 per cell]

## Properties
E_form (uncorrected): 0.467 eV/atom
ρ: 7.182 g cm⁻³
total moment: 0.00 μB per cell
N(E_F): 0.562 states/eV/atom
total DFT energy (no corrections): -3.967 eV per atom

Entry 12:
VASP calculation (GGA-PBEsol) on a geometry-optimized Pb2SeCl structure.

Unit cell a=7.3032 b=7.2955 c=3.7292 alpha=90.00 beta=90.14 gamma=90.00
Space group C2/m (No. 12)
Symmetry-distinct sites (fractional):
1 Pb 0.2500 0.2500 0.0000 [4 per cell]
2 Se 0.0000 0.0000 0.5000 [2 per cell]
3 Cl 0.0000 0.5000 0.5000 [2 per cell]

## Properties
E_form (uncorrected): -0.470 eV/atom
polymorph energy (0 for the lowest one): 0.011 eV/atom
ρ: 8.839 g cm⁻³
total moment: 0.00 μB per cell
N(E_F): 0.317 states/eV/atom
total DFT energy (no corrections): -3.934 eV per atom